RbCr2Mo: PBEsol geometry, meta-GGA SCAN.

Values from the calculation:
total moment: 21.34 μB per cell
volume: 76 Å³/f.u.
total energy: -346.57 eV for the cell shown
density: 6.2 g/cm3
calculated formation energy: 1.44 eV per atom

Unit cell a=6.728 b=6.728 c=6.728 alpha=90.00 beta=90.00 gamma=90.00
Space group Fm-3m (No. 225)
Asymmetric unit:
Rb1 0.000 0.000 0.000 [4 per cell]
Cr1 0.250 0.250 0.250 [8 per cell]
Mo1 0.000 0.000 0.500 [4 per cell]

***

KCa2Ir: PBEsol geometry, meta-GGA SCAN.

Values from the calculation:
total moment: 0.02 μB per cell
volume: 137 Å³/f.u.
total energy: -197.49 eV for the cell shown
density: 3.8 g/cm3
offset from the most stable computed form: 0.0 meV per atom
calculated formation energy: 0.00 eV per atom

Unit cell a=3.402 b=4.690 c=17.174 alpha=90.00 beta=90.00 gamma=90.00
Space group Imm2 (No. 44)
Asymmetric unit:
K1 0.000 0.000 0.000 [2 per cell]
Ca1 0.000 0.000 0.695 [2 per cell]
Ca2 0.000 0.500 0.839 [2 per cell]
Ir1 0.000 0.500 0.324 [2 per cell]

***

Zr2TaTl: PBEsol geometry, meta-GGA SCAN.

Values from the calculation:
total moment: 0.00 μB per cell
volume: 84 Å³/f.u.
total energy: -399.31 eV for the cell shown
density: 11.3 g/cm3
offset from the most stable computed form: 273.1 meV per atom
calculated formation energy: 0.17 eV per atom

Unit cell a=3.690 b=4.771 c=9.492 alpha=90.00 beta=90.00 gamma=90.00
Space group Cmm2 (No. 35)
Asymmetric unit:
Zr1 0.000 0.000 0.000 [2 per cell]
Zr2 0.000 0.500 0.254 [2 per cell]
Ta1 0.000 0.500 0.762 [2 per cell]
Tl1 0.000 0.000 0.514 [2 per cell]

***

HfTi3: PBEsol geometry, meta-GGA SCAN.

Values from the calculation:
total moment: 0.00 μB per cell
volume: 72 Å³/f.u.
total energy: -221.33 eV for the cell shown
density: 7.5 g/cm3
calculated formation energy: 0.02 eV per atom

Unit cell a=5.9473 b=5.9473 c=4.6720 alpha=90.00 beta=90.00 gamma=120.00
Space group P6_3/mmc (No. 194)
Asymmetric unit:
Hf1 0.3333 0.6667 0.2500 [2 per cell]
Ti1 0.1613 0.3226 0.7500 [6 per cell]

***

Sb3Te2: PBEsol geometry, meta-GGA SCAN.

Values from the calculation:
total moment: 0.00 μB per cell
volume: 152 Å³/f.u.
total energy: -559.29 eV for the cell shown
density: 6.8 g/cm3
ΔE_f (raw): -29 meV/atom

Unit cell a=4.2083 b=4.2083 c=29.6553 alpha=90.00 beta=90.00 gamma=120.00
Space group R-3m (No. 166, hexagonal axes)
Asymmetric unit:
Sb1 0.0000 0.0000 0.0000 [3 per cell]
Sb2 0.0000 0.0000 0.1941 [6 per cell]
Te1 0.0000 0.0000 0.3959 [6 per cell]

***

Al2Te5: PBEsol geometry, meta-GGA SCAN.

Values from the calculation:
total moment: 0.00 μB per cell
volume: 218 Å³/f.u.
total energy: -408.48 eV for the cell shown
density: 5.3 g/cm3
ΔE_f (raw): -355 meV/atom

Unit cell a=13.535 b=4.152 c=9.697 alpha=90.00 beta=126.69 gamma=90.00
Space group C2/m (No. 12)
Asymmetric unit:
Al1 0.126 0.000 0.399 [4 per cell]
Te1 0.000 0.500 0.000 [2 per cell]
Te2 0.095 0.000 0.883 [4 per cell]
Te3 0.181 0.500 0.610 [4 per cell]